# 1
GGA-PBE TbSm3Sc2Te6, relaxed; formation energy from raw total energies = -15.2 eV per formula unit; calculated volume = 28.9 Å³/atom; space-group type = C2/m (12); M_tot = 0.00 μB/atom
1.0
9.4903 -2.1569 0.0000
9.4903 2.1569 0.0000
-2.1131 0.0000 8.4852
Tb Sm Sc Te
1 3 2 6
direct
0.0000 0.0000 0.0000
0.0000 0.0000 0.5000
0.3388 0.3388 0.1712
0.6612 0.6612 0.8288
0.3342 0.3342 0.6693
0.6658 0.6658 0.3307
0.1681 0.1681 0.0968
0.1722 0.1722 0.5701
0.4924 0.4924 0.7501
0.5076 0.5076 0.2499
0.8278 0.8278 0.4299
0.8319 0.8319 0.9032



# 2
GGA-PBE TbSm2ScTe6, relaxed; formation energy from raw total energies = -13.2 eV per formula unit; calculated volume = 35.8 Å³/atom; space-group type = R3 (146); M_tot = 0.00 μB/atom
1.0
3.8491 2.2223 6.9710
-3.8491 2.2223 6.9710
0.0000 -4.4446 6.9710
Tb Sm Sc Te
1 2 1 6
direct
0.0000 0.0000 0.0000
0.1877 0.1877 0.1877
0.6888 0.6888 0.6888
0.5014 0.5014 0.5014
0.1182 0.3965 0.7598
0.2738 0.8844 0.6051
0.3965 0.7598 0.1182
0.6051 0.2738 0.8844
0.7598 0.1182 0.3965
0.8844 0.6051 0.2738



# 3
GGA-PBE TbSm2ThSc, relaxed; total energy = -5.29 eV/atom; calculated volume = 32.3 Å³/atom; space-group type = Pmma (51); M_tot = 0.00 μB/atom
1.0
6.2563 0.0000 0.0000
0.0000 7.7046 0.0000
0.0000 0.0000 6.7009
Tb Sm Th Sc
2 4 2 2
direct
0.2500 0.0000 0.1858
0.7500 0.0000 0.8142
0.2500 0.2098 0.7200
0.2500 0.7902 0.7200
0.7500 0.2098 0.2800
0.7500 0.7902 0.2800
0.2500 0.5000 0.4034
0.7500 0.5000 0.5966
0.0000 0.5000 0.0000
0.5000 0.5000 0.0000



# 4
GGA-PBE Tb2SmThSc4, relaxed; total energy = -5.80 eV/atom; calculated volume = 28.2 Å³/atom; space-group type = P4/mmm (123); M_tot = 0.00 μB/atom
1.0
4.9948 0.0000 0.0000
0.0000 4.9948 0.0000
0.0000 0.0000 9.0565
Tb Sm Th Sc
2 1 1 4
direct
0.0000 0.0000 0.0000
0.5000 0.5000 0.5000
0.0000 0.0000 0.5000
0.5000 0.5000 0.0000
0.0000 0.5000 0.2464
0.0000 0.5000 0.7536
0.5000 0.0000 0.2464
0.5000 0.0000 0.7536



What is the M_tot in the first record? 0.00 μB/atom